(1)
# LiLa2CdAg6 (PBE, optimized geometry)
# - Uncorrected energy: -3.0973 eV/atom
# - E_form: -0.1182 eV/atom
data_LiLa2CdAg6
_chemical_formula_sum 'Li1 La2 Cd1 Ag6'
_symmetry_space_group_name_H-M 'P -1'
_symmetry_Int_Tables_number 2
_symmetry_space_group_name_Hall '-P 1'
_cell_length_a 5.7142
_cell_length_b 6.9296
_cell_length_c 7.1096
_cell_angle_alpha 67.58
_cell_angle_beta 66.32
_cell_angle_gamma 65.74
loop_
_atom_site_label
_atom_site_type_symbol
_atom_site_fract_x
_atom_site_fract_y
_atom_site_fract_z
Li1 Li 0.0000 0.0000 0.0000
La1 La 0.4904 0.2695 0.7483
Cd1 Cd 0.0000 0.5000 0.5000
Ag1 Ag 0.0081 0.1794 0.3052
Ag2 Ag 0.1862 0.5692 0.0595
Ag3 Ag 0.4919 0.8205 0.6942

(2)
# LiW2 (PBE, optimized geometry)
# - Excess energy over the best structure of this formula in the dataset: 3.12 eV/f.u.
# - Uncorrected energy: -7.8688 eV/atom
# - E_form: 1.4046 eV/atom
data_LiW2
_chemical_formula_sum 'Li4 W8'
_symmetry_space_group_name_H-M 'F m -3 m'
_symmetry_Int_Tables_number 225
_symmetry_space_group_name_Hall '-F 4 2 3'
_cell_length_a 5.6755
_cell_length_b 5.6755
_cell_length_c 5.6755
_cell_angle_alpha 90.00
_cell_angle_beta 90.00
_cell_angle_gamma 90.00
loop_
_atom_site_label
_atom_site_type_symbol
_atom_site_fract_x
_atom_site_fract_y
_atom_site_fract_z
Li1 Li 0.0000 0.0000 0.0000
W1 W 0.2500 0.2500 0.2500

(3)
# HfZrCoI2 (PBE, optimized geometry)
# - ΔE_f (raw): 3.4 eV/f.u.
# - Uncorrected energy: -5.0656 eV/atom
data_HfZrCoI2
_chemical_formula_sum 'Hf1 Zr1 Co1 I2'
_symmetry_space_group_name_H-M 'P 4/m m m'
_symmetry_Int_Tables_number 123
_symmetry_space_group_name_Hall '-P 4 2'
_cell_length_a 5.0378
_cell_length_b 5.0378
_cell_length_c 4.7620
_cell_angle_alpha 90.00
_cell_angle_beta 90.00
_cell_angle_gamma 90.00
loop_
_atom_site_label
_atom_site_type_symbol
_atom_site_fract_x
_atom_site_fract_y
_atom_site_fract_z
Hf1 Hf 0.0000 0.0000 0.0000
Zr1 Zr 0.5000 0.5000 0.0000
Co1 Co 0.0000 0.0000 0.5000
I1 I 0.0000 0.5000 0.5000

(4)
# PuGe2Pb (PBE, optimized geometry)
# - Excess energy over the best structure of this formula in the dataset: 0.00 eV/f.u.
# - Uncorrected energy: -7.0309 eV/atom
# - E_form: -0.2121 eV/atom
data_PuGe2Pb
_chemical_formula_sum 'Pu1 Ge2 Pb1'
_symmetry_space_group_name_H-M 'P 4/m m m'
_symmetry_Int_Tables_number 123
_symmetry_space_group_name_Hall '-P 4 2'
_cell_length_a 4.6170
_cell_length_b 4.6170
_cell_length_c 4.2282
_cell_angle_alpha 90.00
_cell_angle_beta 90.00
_cell_angle_gamma 90.00
loop_
_atom_site_label
_atom_site_type_symbol
_atom_site_fract_x
_atom_site_fract_y
_atom_site_fract_z
Pu1 Pu 0.0000 0.0000 0.0000
Ge1 Ge 0.0000 0.5000 0.5000
Pb1 Pb 0.5000 0.5000 0.0000

(5)
# Sm4Ag3Sn (PBE, optimized geometry)
# - Uncorrected energy: -4.3192 eV/atom
# - E_form: -0.3901 eV/atom
data_Sm4Ag3Sn
_chemical_formula_sum 'Sm8 Ag6 Sn2'
_symmetry_space_group_name_H-M 'I 4/m m m'
_symmetry_Int_Tables_number 139
_symmetry_space_group_name_Hall '-I 4 2'
_cell_length_a 5.2815
_cell_length_b 5.2815
_cell_length_c 15.0849
_cell_angle_alpha 90.00
_cell_angle_beta 90.00
_cell_angle_gamma 90.00
loop_
_atom_site_label
_atom_site_type_symbol
_atom_site_fract_x
_atom_site_fract_y
_atom_site_fract_z
Sm1 Sm 0.0000 0.5000 0.1275
Ag1 Ag 0.0000 0.0000 0.0000
Ag2 Ag 0.0000 0.0000 0.2475
Sn1 Sn 0.0000 0.0000 0.5000

(6)
# LiAgP2 (PBE, optimized geometry)
# - Excess energy over the best structure of this formula in the dataset: 1.31 eV/f.u.
# - Uncorrected energy: -3.7078 eV/atom
# - E_form: 0.1884 eV/atom
data_LiAgP2
_chemical_formula_sum 'Li2 Ag2 P4'
_symmetry_space_group_name_H-M 'C m m 2'
_symmetry_Int_Tables_number 35
_symmetry_space_group_name_Hall 'C 2 -2'
_cell_length_a 3.1530
_cell_length_b 5.1885
_cell_length_c 8.3481
_cell_angle_alpha 90.00
_cell_angle_beta 90.00
_cell_angle_gamma 90.00
loop_
_atom_site_label
_atom_site_type_symbol
_atom_site_fract_x
_atom_site_fract_y
_atom_site_fract_z
Li1 Li 0.0000 0.0000 0.0000
Ag1 Ag 0.0000 0.5000 0.7422
P1 P 0.0000 0.0000 0.4298
P2 P 0.0000 0.5000 0.2435

(7)
# Ag2C (PBE, optimized geometry)
# - Excess energy over the best structure of this formula in the dataset: 2.64 eV/f.u.
# - Uncorrected energy: -3.4684 eV/atom
# - E_form: 1.5071 eV/atom
data_Ag2C
_chemical_formula_sum 'Ag8 C4'
_symmetry_space_group_name_H-M 'C m c m'
_symmetry_Int_Tables_number 63
_symmetry_space_group_name_Hall '-C 2c 2'
_cell_length_a 3.2059
_cell_length_b 12.9893
_cell_length_c 4.4447
_cell_angle_alpha 90.00
_cell_angle_beta 90.00
_cell_angle_gamma 90.00
loop_
_atom_site_label
_atom_site_type_symbol
_atom_site_fract_x
_atom_site_fract_y
_atom_site_fract_z
Ag1 Ag 0.0000 0.0636 0.2500
Ag2 Ag 0.0000 0.3258 0.2500
C1 C 0.0000 0.3221 0.7500

(8)
# BeP3 (PBE, optimized geometry)
# - Excess energy over the best structure of this formula in the dataset: 2.83 eV/f.u.
# - Uncorrected energy: -4.4323 eV/atom
# - E_form: 0.5567 eV/atom
data_BeP3
_chemical_formula_sum 'Be4 P12'
_symmetry_space_group_name_H-M 'I 4/m m m'
_symmetry_Int_Tables_number 139
_symmetry_space_group_name_Hall '-I 4 2'
_cell_length_a 3.5036
_cell_length_b 3.5036
_cell_length_c 18.7028
_cell_angle_alpha 90.00
_cell_angle_beta 90.00
_cell_angle_gamma 90.00
loop_
_atom_site_label
_atom_site_type_symbol
_atom_site_fract_x
_atom_site_fract_y
_atom_site_fract_z
Be1 Be 0.0000 0.0000 0.1683
P1 P 0.0000 0.0000 0.4027
P2 P 0.0000 0.5000 0.0000
P3 P 0.0000 0.5000 0.2500

(9)
# Ba2YOs2N6 (PBE, optimized geometry)
# - ΔE_f (raw): -4.9 eV/f.u.
# - Uncorrected energy: -7.9634 eV/atom
data_Ba2YOs2N6
_chemical_formula_sum 'Ba6 Y3 Os6 N18'
_symmetry_space_group_name_H-M 'R -3 m'
_symmetry_Int_Tables_number 166
_symmetry_space_group_name_Hall '-R 3 2"'
_cell_length_a 6.1126
_cell_length_b 6.1126
_cell_length_c 18.7456
_cell_angle_alpha 90.00
_cell_angle_beta 90.00
_cell_angle_gamma 120.00
loop_
_atom_site_label
_atom_site_type_symbol
_atom_site_fract_x
_atom_site_fract_y
_atom_site_fract_z
Ba1 Ba 0.0000 0.0000 0.2131
Y1 Y 0.0000 0.0000 0.0000
Os1 Os 0.0000 0.0000 0.4018
N1 N 0.0012 0.5006 0.2486

(10)
# AcNd3Sm3 (PBE, optimized geometry)
# - Excess energy over the best structure of this formula in the dataset: 0.00 eV/f.u.
# - Uncorrected energy: -4.6133 eV/atom
# - E_form: 0.0394 eV/atom
data_AcNd3Sm3
_chemical_formula_sum 'Ac2 Nd6 Sm6'
_symmetry_space_group_name_H-M 'P 63/m'
_symmetry_Int_Tables_number 176
_symmetry_space_group_name_Hall '-P 6c'
_cell_length_a 9.9133
_cell_length_b 9.9133
_cell_length_c 5.9657
_cell_angle_alpha 90.00
_cell_angle_beta 90.00
_cell_angle_gamma 120.00
loop_
_atom_site_label
_atom_site_type_symbol
_atom_site_fract_x
_atom_site_fract_y
_atom_site_fract_z
Ac1 Ac 0.3333 0.6667 0.2500
Nd1 Nd 0.0939 0.6231 0.7500
Sm1 Sm 0.0436 0.8115 0.2500

(11)
# NdYTe2 (PBE, optimized geometry)
# - ΔE_f (raw): -5.0 eV/f.u.
# - Excess energy over the best structure of this formula in the dataset: 0.60 eV/f.u.
# - Uncorrected energy: -5.6249 eV/atom
data_NdYTe2
_chemical_formula_sum 'Nd4 Y4 Te8'
_symmetry_space_group_name_H-M 'F m -3 m'
_symmetry_Int_Tables_number 225
_symmetry_space_group_name_Hall '-F 4 2 3'
_cell_length_a 7.6780
_cell_length_b 7.6780
_cell_length_c 7.6780
_cell_angle_alpha 90.00
_cell_angle_beta 90.00
_cell_angle_gamma 90.00
loop_
_atom_site_label
_atom_site_type_symbol
_atom_site_fract_x
_atom_site_fract_y
_atom_site_fract_z
Nd1 Nd 0.0000 0.0000 0.0000
Y1 Y 0.0000 0.0000 0.5000
Te1 Te 0.2500 0.2500 0.2500

(12)
# ReO4 (PBE, optimized geometry)
# - ΔE_f (raw): -3.0 eV/f.u.
# - Uncorrected energy: -7.0505 eV/atom
data_ReO4
_chemical_formula_sum 'Re1 O4'
_symmetry_space_group_name_H-M 'P m -3 m'
_symmetry_Int_Tables_number 221
_symmetry_space_group_name_Hall '-P 4 2 3'
_cell_length_a 3.8113
_cell_length_b 3.8113
_cell_length_c 3.8113
_cell_angle_alpha 90.00
_cell_angle_beta 90.00
_cell_angle_gamma 90.00
loop_
_atom_site_label
_atom_site_type_symbol
_atom_site_fract_x
_atom_site_fract_y
_atom_site_fract_z
Re1 Re 0.0000 0.0000 0.0000
O1 O 0.0000 0.0000 0.5000
O2 O 0.5000 0.5000 0.5000

(13)
# SrBe7 (PBE, optimized geometry)
# - Uncorrected energy: -2.3687 eV/atom
# - E_form: 1.1019 eV/atom
data_SrBe7
_chemical_formula_sum 'Sr4 Be28'
_symmetry_space_group_name_H-M 'F m -3 m'
_symmetry_Int_Tables_number 225
_symmetry_space_group_name_Hall '-F 4 2 3'
_cell_length_a 7.4500
_cell_length_b 7.4500
_cell_length_c 7.4500
_cell_angle_alpha 90.00
_cell_angle_beta 90.00
_cell_angle_gamma 90.00
loop_
_atom_site_label
_atom_site_type_symbol
_atom_site_fract_x
_atom_site_fract_y
_atom_site_fract_z
Sr1 Sr 0.0000 0.0000 0.0000
Be1 Be 0.0000 0.0000 0.5000
Be2 Be 0.0000 0.2500 0.2500

(14)
# CrAs2Ir (PBE, optimized geometry)
# - Excess energy over the best structure of this formula in the dataset: 0.79 eV/f.u.
# - Uncorrected energy: -6.7903 eV/atom
# - E_form: 0.1556 eV/atom
data_CrAs2Ir
_chemical_formula_sum 'Cr2 As4 Ir2'
_symmetry_space_group_name_H-M 'I m m 2'
_symmetry_Int_Tables_number 44
_symmetry_space_group_name_Hall 'I 2 -2'
_cell_length_a 2.9999
_cell_length_b 4.3917
_cell_length_c 9.5749
_cell_angle_alpha 90.00
_cell_angle_beta 90.00
_cell_angle_gamma 90.00
loop_
_atom_site_label
_atom_site_type_symbol
_atom_site_fract_x
_atom_site_fract_y
_atom_site_fract_z
Cr1 Cr 0.0000 0.0000 0.0000
As1 As 0.0000 0.0000 0.4993
As2 As 0.0000 0.5000 0.2754
Ir1 Ir 0.0000 0.5000 0.7830

(15)
# Cu2BSe3 (PBE, optimized geometry)
# - ΔE_f (raw): -0.8 eV/f.u.
# - Uncorrected energy: -4.3538 eV/atom
data_Cu2BSe3
_chemical_formula_sum 'Cu8 B4 Se12'
_symmetry_space_group_name_H-M 'C m c 21'
_symmetry_Int_Tables_number 36
_symmetry_space_group_name_Hall 'C 2c -2'
_cell_length_a 11.1225
_cell_length_b 6.5141
_cell_length_c 6.1372
_cell_angle_alpha 90.00
_cell_angle_beta 90.00
_cell_angle_gamma 90.00
loop_
_atom_site_label
_atom_site_type_symbol
_atom_site_fract_x
_atom_site_fract_y
_atom_site_fract_z
Cu1 Cu 0.1587 0.1599 0.0000
B1 B 0.0000 0.3481 0.5226
Se1 Se 0.0000 0.3610 0.1661
Se2 Se 0.1525 0.1915 0.6158

(16)
# KBeNbN3 (PBE, optimized geometry)
# - ΔE_f (raw): -3.0 eV/f.u.
# - Uncorrected energy: -7.1427 eV/atom
data_KBeNbN3
_chemical_formula_sum 'K2 Be2 Nb2 N6'
_symmetry_space_group_name_H-M 'P 1 21/m 1'
_symmetry_Int_Tables_number 11
_symmetry_space_group_name_Hall '-P 2yb'
_cell_length_a 7.5451
_cell_length_b 3.1577
_cell_length_c 7.5558
_cell_angle_alpha 90.00
_cell_angle_beta 112.22
_cell_angle_gamma 90.00
loop_
_atom_site_label
_atom_site_type_symbol
_atom_site_fract_x
_atom_site_fract_y
_atom_site_fract_z
K1 K 0.2418 0.2500 0.2086
Be1 Be 0.4018 0.7500 0.9222
Nb1 Nb 0.1620 0.2500 0.6690
N1 N 0.1449 0.7500 0.4732
N2 N 0.1536 0.7500 0.8471
N3 N 0.4521 0.2500 0.8419

(17)
# K3Te (PBE, optimized geometry)
# - ΔE_f (raw): -2.4 eV/f.u.
# - Excess energy over the best structure of this formula in the dataset: 0.21 eV/f.u.
# - Uncorrected energy: -2.1990 eV/atom
data_K3Te
_chemical_formula_sum 'K12 Te4'
_symmetry_space_group_name_H-M 'C m c m'
_symmetry_Int_Tables_number 63
_symmetry_space_group_name_Hall '-C 2c 2'
_cell_length_a 10.5738
_cell_length_b 20.2348
_cell_length_c 5.2779
_cell_angle_alpha 90.00
_cell_angle_beta 90.00
_cell_angle_gamma 90.00
loop_
_atom_site_label
_atom_site_type_symbol
_atom_site_fract_x
_atom_site_fract_y
_atom_site_fract_z
K1 K 0.0000 0.0827 0.2500
K2 K 0.1808 0.3134 0.7500
Te1 Te 0.0000 0.2536 0.2500

(18)
# Ho6TeRu2 (PBE, optimized geometry)
# - ΔE_f (raw): -4.4 eV/f.u.
# - Excess energy over the best structure of this formula in the dataset: 0.00 eV/f.u.
# - Uncorrected energy: -5.9555 eV/atom
data_Ho6TeRu2
_chemical_formula_sum 'Ho24 Te4 Ru8'
_symmetry_space_group_name_H-M 'I m m m'
_symmetry_Int_Tables_number 71
_symmetry_space_group_name_Hall '-I 2 2'
_cell_length_a 9.3127
_cell_length_b 9.5548
_cell_length_c 10.4726
_cell_angle_alpha 90.00
_cell_angle_beta 90.00
_cell_angle_gamma 90.00
loop_
_atom_site_label
_atom_site_type_symbol
_atom_site_fract_x
_atom_site_fract_y
_atom_site_fract_z
Ho1 Ho 0.0000 0.2067 0.2370
Ho2 Ho 0.1850 0.5000 0.1693
Ho3 Ho 0.2140 0.3202 0.5000
Te1 Te 0.0000 0.0000 0.0000
Te2 Te 0.0000 0.0000 0.5000
Ru1 Ru 0.0000 0.3323 0.0000
Ru2 Ru 0.0000 0.5000 0.3718

(19)
# GdMg3Cu (PBE, optimized geometry)
# - Uncorrected energy: -4.5574 eV/atom
# - E_form: 0.0348 eV/atom
data_GdMg3Cu
_chemical_formula_sum 'Gd1 Mg3 Cu1'
_symmetry_space_group_name_H-M 'P m -3 m'
_symmetry_Int_Tables_number 221
_symmetry_space_group_name_Hall '-P 4 2 3'
_cell_length_a 4.9135
_cell_length_b 4.9135
_cell_length_c 4.9135
_cell_angle_alpha 90.00
_cell_angle_beta 90.00
_cell_angle_gamma 90.00
loop_
_atom_site_label
_atom_site_type_symbol
_atom_site_fract_x
_atom_site_fract_y
_atom_site_fract_z
Gd1 Gd 0.0000 0.0000 0.0000
Mg1 Mg 0.0000 0.5000 0.5000
Cu1 Cu 0.5000 0.5000 0.5000

(20)
# BaP2Br (PBE, optimized geometry)
# - ΔE_f (raw): -2.2 eV/f.u.
# - Excess energy over the best structure of this formula in the dataset: 1.16 eV/f.u.
# - Uncorrected energy: -4.1459 eV/atom
data_BaP2Br
_chemical_formula_sum 'Ba1 P2 Br1'
_symmetry_space_group_name_H-M 'P 4 m m'
_symmetry_Int_Tables_number 99
_symmetry_space_group_name_Hall 'P 4 -2'
_cell_length_a 3.5776
_cell_length_b 3.5776
_cell_length_c 8.7905
_cell_angle_alpha 90.00
_cell_angle_beta 90.00
_cell_angle_gamma 90.00
loop_
_atom_site_label
_atom_site_type_symbol
_atom_site_fract_x
_atom_site_fract_y
_atom_site_fract_z
Ba1 Ba 0.0000 0.0000 0.0000
P1 P 0.0000 0.0000 0.6442
P2 P 0.5000 0.5000 0.7144
Br1 Br 0.5000 0.5000 0.2193

(21)
# Ba2ZnAg3Pb4 (PBE, optimized geometry)
# - Uncorrected energy: -3.1201 eV/atom
# - E_form: -0.2695 eV/atom
data_Ba2ZnAg3Pb4
_chemical_formula_sum 'Ba2 Zn1 Ag3 Pb4'
_symmetry_space_group_name_H-M 'P -4 m 2'
_symmetry_Int_Tables_number 115
_symmetry_space_group_name_Hall 'P -4 -2'
_cell_length_a 4.9517
_cell_length_b 4.9517
_cell_length_c 11.9727
_cell_angle_alpha 90.00
_cell_angle_beta 90.00
_cell_angle_gamma 90.00
loop_
_atom_site_label
_atom_site_type_symbol
_atom_site_fract_x
_atom_site_fract_y
_atom_site_fract_z
Ba1 Ba 0.0000 0.5000 0.2391
Zn1 Zn 0.5000 0.5000 0.0000
Ag1 Ag 0.0000 0.0000 0.0000
Ag2 Ag 0.0000 0.5000 0.6380
Pb1 Pb 0.0000 0.0000 0.5000
Pb2 Pb 0.0000 0.5000 0.8757
Pb3 Pb 0.5000 0.5000 0.5000

(22)
# LiAc2AlAg6 (PBE, optimized geometry)
# - Uncorrected energy: -3.2516 eV/atom
# - E_form: -0.1535 eV/atom
data_LiAc2AlAg6
_chemical_formula_sum 'Li2 Ac4 Al2 Ag12'
_symmetry_space_group_name_H-M 'C 1 2/m 1'
_symmetry_Int_Tables_number 12
_symmetry_space_group_name_Hall '-C 2y'
_cell_length_a 11.7185
_cell_length_b 6.7468
_cell_length_c 7.1250
_cell_angle_alpha 90.00
_cell_angle_beta 123.36
_cell_angle_gamma 90.00
loop_
_atom_site_label
_atom_site_type_symbol
_atom_site_fract_x
_atom_site_fract_y
_atom_site_fract_z
Li1 Li 0.0000 0.0000 0.0000
Ac1 Ac 0.2184 0.0000 0.6527
Al1 Al 0.0000 0.5000 0.5000
Ag1 Ag 0.0389 0.2841 0.8327
Ag2 Ag 0.2450 0.0000 0.1652

(23)
# Be2Cd2W (PBE, optimized geometry)
# - Excess energy over the best structure of this formula in the dataset: 0.00 eV/f.u.
# - Uncorrected energy: -3.8908 eV/atom
# - E_form: 0.5564 eV/atom
data_Be2Cd2W
_chemical_formula_sum 'Be4 Cd4 W2'
_symmetry_space_group_name_H-M 'P 4/m b m'
_symmetry_Int_Tables_number 127
_symmetry_space_group_name_Hall '-P 4 2ab'
_cell_length_a 7.0940
_cell_length_b 7.0940
_cell_length_c 2.8623
_cell_angle_alpha 90.00
_cell_angle_beta 90.00
_cell_angle_gamma 90.00
loop_
_atom_site_label
_atom_site_type_symbol
_atom_site_fract_x
_atom_site_fract_y
_atom_site_fract_z
Be1 Be 0.1370 0.3630 0.0000
Cd1 Cd 0.1603 0.6603 0.5000
W1 W 0.0000 0.0000 0.0000